The following is a DFT calculation (PBE) of a geometry-optimized KPr2Th3Te6 structure.

Cell lengths 10.2711, 10.2711, 9.3079 Å; angles 105.80, 105.80, 24.92 degrees
Closest atoms and distances in Å follow each position.
Fractional coordinates of all 12 atoms:
K 0.0000 0.0000 0.0000  6 Te 3.27
Pr 0.3274 0.3274 0.6632  6 Te 3.16-3.30
Pr 0.6726 0.6726 0.3368  6 Te 3.16-3.30
Th 0.0000 0.0000 0.5000  6 Te 3.16
Th 0.3346 0.3346 0.1767  6 Te 3.18-3.22
Th 0.6654 0.6654 0.8233  6 Te 3.18-3.22
Te 0.1637 0.1637 0.5774  3 Pr 3.16-3.19, 3 Th 3.16-3.18
Te 0.1694 0.1694 0.0771  3 Th 3.18-3.22, 2 Pr 3.27, 1 K 3.27
Te 0.4984 0.4984 0.7410  3 Th 3.16-3.22, 2 K 3.27, 1 Pr 3.30
Te 0.5016 0.5016 0.2590  3 Th 3.16-3.22, 2 K 3.27, 1 Pr 3.30
Te 0.8306 0.8306 0.9229  3 Th 3.18-3.22, 2 Pr 3.27, 1 K 3.27
Te 0.8363 0.8363 0.4226  3 Pr 3.16-3.19, 3 Th 3.16-3.18

Results
The value obtained for the calculated total energy is -0.404 Ry/atom. Its space group is No. 12. The formation energy from raw total energies comes out at -1.177 eV/atom.